[1]
ThMn10Co2 | PBE | optimized geometry

Lattice parameters (Å, degrees): 6.417 6.417 8.341 90.00 90.00 97.27
Site moments in Bohr magnetons follow the coordinates.
Sites, in units of the cell vectors:
Mn1 0.125 0.385 0.250  1.72
Mn2 0.749 0.516 0.250  -1.70
Mn3 0.875 0.615 0.750  1.72
Mn4 0.244 0.244 0.500  2.02
Mn5 0.251 0.484 0.750  -1.70
Mn6 0.826 0.174 0.401  2.26
Mn7 0.389 0.611 0.418  -2.55
Mn8 0.385 0.125 0.750  1.72
Mn9 0.611 0.389 0.918  -2.55
Mn10 0.615 0.875 0.250  1.72
Mn11 0.244 0.244 0.000  2.02
Mn12 0.389 0.611 0.082  -2.55
Mn13 0.516 0.749 0.750  -1.70
Mn14 0.174 0.826 0.901  2.26
Mn15 0.756 0.756 0.500  2.02
Mn16 0.826 0.174 0.099  2.26
Mn17 0.611 0.389 0.582  -2.55
Mn18 0.756 0.756 0.000  2.02
Mn19 0.484 0.251 0.250  -1.70
Mn20 0.174 0.826 0.599  2.26
Co1 0.500 0.000 0.500  0.65
Co2 0.000 0.500 0.500  0.65
Co3 0.000 0.500 0.000  0.65
Co4 0.500 0.000 0.000  0.65
Th1 0.889 0.111 0.750  -0.11
Th2 0.111 0.889 0.250  -0.11

Values from the calculation:
- energy relative to the elements (eV/f.u.) = 0.293
- symmetry = Cmcm (63)

[2]
Tb5ThSc3 | PBE | optimized geometry

Lattice parameters (Å, degrees): 9.317 9.317 11.155 52.82 52.82 74.77
Sites, in units of the cell vectors:
Tb1 0.495 0.495 0.772
Tb2 0.254 0.746 0.000
Tb3 0.505 0.505 0.228
Tb4 0.633 0.129 0.489
Tb5 0.367 0.871 0.511
Tb6 0.157 0.157 0.094
Tb7 0.746 0.254 0.000
Tb8 0.843 0.843 0.906
Tb9 0.871 0.367 0.511
Tb10 0.129 0.633 0.489
Th1 0.175 0.175 0.601
Th2 0.825 0.825 0.399
Sc1 0.339 0.339 0.673
Sc2 0.000 0.000 0.000
Sc3 0.319 0.319 0.188
Sc4 0.000 0.000 0.500
Sc5 0.661 0.661 0.327
Sc6 0.681 0.681 0.812

Values from the calculation:
- energy relative to the elements (eV/f.u.) = 4.315
- symmetry = C2/m (12)

[3]
Sr2CoHg | PBE | optimized geometry

Lattice parameters (Å, degrees): 4.222 4.222 8.853 77.05 77.05 58.08
Site moments in Bohr magnetons follow the coordinates.
Sites, in units of the cell vectors:
Sr1 0.988 0.988 0.037  -0.06
Sr2 0.512 0.512 0.463  -0.06
Co1 0.250 0.250 0.250  1.39
Hg1 0.750 0.750 0.750  -0.01

Values from the calculation:
- energy relative to the elements (eV/f.u.) = 0.854
- symmetry = C2/m (12)

[4]
PrGe2Pd | PBE | optimized geometry

Lattice parameters (Å, degrees): 4.124 4.803 4.803 97.79 90.00 90.00
Sites, in units of the cell vectors:
Pd1 0.500 0.390 0.610
Ge1 0.500 0.885 0.493
Ge2 0.500 0.507 0.115
Pr1 0.000 0.998 0.002

Values from the calculation:
- energy relative to the elements (eV/f.u.) = -2.059
- symmetry = Amm2 (38)

[5]
Sr4Al4Si | PBE | optimized geometry

Lattice parameters (Å, degrees): 5.933 9.558 9.558 90.00 90.00 90.00
Sites, in units of the cell vectors:
Al1 0.856 0.538 0.345
Al2 0.356 0.845 0.962
Al3 0.856 0.462 0.655
Al4 0.356 0.155 0.038
Al5 0.644 0.038 0.845
Al6 0.144 0.655 0.538
Al7 0.144 0.345 0.462
Al8 0.644 0.962 0.155
Sr1 0.143 0.063 0.697
Sr2 0.357 0.437 0.803
Sr3 0.857 0.303 0.063
Sr4 0.643 0.197 0.437
Sr5 0.143 0.937 0.303
Sr6 0.857 0.697 0.937
Sr7 0.357 0.563 0.197
Sr8 0.643 0.803 0.563
Si1 0.000 0.000 0.000
Si2 0.500 0.500 0.500

Values from the calculation:
- symmetry = P4_2/n (86)
- E_form (uncorrected) (eV/f.u.) = -1.88

[6]
TbPmHo2Te6 | PBE | optimized geometry

Lattice parameters (Å, degrees): 7.741 7.741 8.342 62.36 62.35 60.00
Sites, in units of the cell vectors:
Ho1 0.509 0.509 0.473
Ho2 0.008 0.008 0.977
Te1 0.733 0.114 0.750
Te2 0.606 0.236 0.248
Te3 0.403 0.733 0.750
Te4 0.236 0.911 0.248
Te5 0.114 0.403 0.750
Te6 0.911 0.606 0.248
Pm1 0.820 0.820 0.539
Tb1 0.322 0.322 0.033

Values from the calculation:
- symmetry = R3 (146)
- E_form (uncorrected) (eV/f.u.) = -13.63

[7]
V4As2N | PBE | optimized geometry

Lattice parameters (Å, degrees): 3.127 6.311 9.240 90.00 90.00 90.00
Sites, in units of the cell vectors:
As1 0.500 0.563 0.353
As2 0.500 0.063 0.147
As3 0.500 0.437 0.647
As4 0.500 0.937 0.853
V1 0.000 0.363 0.193
V2 0.000 0.863 0.307
V3 0.000 0.637 0.807
V4 0.000 0.137 0.693
V5 0.500 0.819 0.571
V6 0.500 0.319 0.929
V7 0.500 0.181 0.429
V8 0.500 0.681 0.071
N1 0.000 0.000 0.500
N2 0.000 0.500 0.000

Values from the calculation:
- symmetry = Pbam (55)
- E_form (uncorrected) (eV/f.u.) = -4.69

[8]
NbTc2Mo | PBE | optimized geometry

Lattice parameters (Å, degrees): 5.750 5.750 5.750 56.75 150.96 132.38
Sites, in units of the cell vectors:
Nb1 0.000 0.000 0.000
Tc1 0.000 0.266 0.266
Tc2 0.000 0.734 0.734
Mo1 0.000 0.500 0.500

Values from the calculation:
- energy relative to the elements (eV/f.u.) = 2.543
- symmetry = Immm (71)
- E above lowest polymorph (meV per atom) = 757

[9]
LaZnB | PBE | optimized geometry

Lattice parameters (Å, degrees): 4.723 4.723 6.002 90.00 90.00 120.00
Sites, in units of the cell vectors:
La1 0.333 0.667 0.750
La2 0.667 0.333 0.250
B1 0.667 0.333 0.750
B2 0.333 0.667 0.250
Zn1 0.000 0.000 0.500
Zn2 0.000 0.000 0.000

Values from the calculation:
- energy relative to the elements (eV/f.u.) = 0.612
- symmetry = P6_3/mmc (194)
- E above lowest polymorph (meV per atom) = 507

[10]
PrNd3Tm3 | PBE | optimized geometry

Lattice parameters (Å, degrees): 5.767 9.683 9.682 119.99 90.00 90.00
Sites, in units of the cell vectors:
Nd1 0.750 0.758 0.808
Nd2 0.250 0.808 0.050
Nd3 0.750 0.192 0.950
Nd4 0.250 0.950 0.758
Nd5 0.750 0.050 0.242
Nd6 0.250 0.242 0.192
Tm1 0.250 0.096 0.479
Tm2 0.750 0.479 0.383
Tm3 0.250 0.521 0.617
Tm4 0.250 0.383 0.904
Tm5 0.750 0.617 0.096
Tm6 0.750 0.904 0.521
Pr1 0.750 0.333 0.667
Pr2 0.250 0.667 0.333

Values from the calculation:
- energy relative to the elements (eV/f.u.) = 0.159
- symmetry = P6_3/m (176)
- E above lowest polymorph (meV per atom) = 0

no.,DFT total energy (eV/atom)
1,-8.69
2,-5.03
3,-2.48
4,-5.32
5,-3.22
6,-5.10
7,-8.40
8,-9.77
9,-4.09
10,-4.62